Al5Si3 after structural relaxation. Source: Alexandria, functional PBE.

Lattice parameters (Å, degrees): 5.6585 5.6585 3.9321 90.00 90.00 95.79
Last column: nearest neighbours and their distance in Å.
Sites, in units of the cell vectors:
Al 0.0000 0.0000 0.0000  4 Si 2.78, 8 Al 2.81-2.83
Al 0.0000 0.5000 0.0000  6 Si 2.73-2.83, 6 Al 2.83-2.88
Al 0.5000 0.0000 0.0000  6 Si 2.73-2.83, 6 Al 2.83-2.88
Al 0.2649 0.2649 0.5000  6 Si 2.65-2.85, 6 Al 2.81-2.88
Al 0.7351 0.7351 0.5000  6 Si 2.65-2.85, 6 Al 2.81-2.88
Si 0.5000 0.5000 0.0000  8 Al 2.65-2.83, 4 Si 2.97
Si 0.7651 0.2349 0.5000  10 Al 2.73-2.85, 2 Si 2.97
Si 0.2349 0.7651 0.5000  10 Al 2.73-2.85, 2 Si 2.97

Properties
ΔE to the lowest computed polymorph   22 meV/atom
Space group   No. 65
E_form (uncorrected)   146 meV per atom